Entry 1:
Here is a geometry-optimized Cu3Ag7 structure from OQMD. Energies are from PBE-GGA.

Lattice parameters (Å, degrees): 12.179 2.886 9.493 90.00 101.75 90.00
Space group C2/m (No. 12)
Unique sites:
1 Cu 0.000 0.000 0.000
2 Cu 0.201 0.000 0.593
3 Ag 0.000 0.500 0.500
4 Ag 0.099 0.500 0.798
5 Ag 0.109 0.000 0.307
6 Ag 0.194 0.500 0.099

The value obtained for the formation energy is 0.081 eV per atom.

***

Entry 2:
Here is a geometry-optimized CuAg structure from OQMD. Energies are from PBE-GGA.

Lattice parameters (Å, degrees): 4.778 4.793 7.303 102.47 109.05 99.41
Space group P1 (No. 1)
Unique sites:
1 Cu 0.000 0.000 0.000
2 Cu 0.000 0.480 0.490
3 Cu 0.193 0.087 0.676
4 Cu 0.381 0.193 0.392
5 Cu 0.817 0.916 0.304
6 Ag 0.192 0.609 0.197
7 Ag 0.396 0.701 0.887
8 Ag 0.592 0.293 0.104
9 Ag 0.610 0.788 0.585
10 Ag 0.797 0.379 0.786

The value obtained for the formation energy is 0.100 eV per atom.

***

Entry 3:
Here is a geometry-optimized CuAg structure from OQMD. Energies are from PBE-GGA.

Lattice parameters (Å, degrees): 11.749 2.785 9.196 90.00 100.90 90.00
Space group Cm (No. 8)
Unique sites:
1 Cu 0.000 0.000 0.000
2 Cu 0.000 0.500 0.492
3 Cu 0.185 0.000 0.583
4 Cu 0.191 0.500 0.093
5 Cu 0.391 0.000 0.185
6 Ag 0.086 0.000 0.287
7 Ag 0.094 0.500 0.793
8 Ag 0.299 0.500 0.383
9 Ag 0.301 0.000 0.904
10 Ag 0.387 0.500 0.683

The value obtained for the formation energy is 0.101 eV per atom.

***

Sequential density output: 9.61, 9.53, 9.63 g cm⁻³
Sequential E output: -3.01, -3.17, -3.17 eV/atom